[1]
DFT (PBE) results for MoAsPt2 after structural relaxation.

The structure in extended XYZ format:
```
16
Lattice="5.709 0.000 0.000 0.000 5.709 0.000 0.000 0.000 11.181" Properties=species:S:1:pos:R:3 pbc="T T T"
Mo 0.000 0.000 0.000
Mo 0.000 2.854 2.795
Mo 2.854 0.000 8.386
Mo 2.854 2.854 5.590
As 0.000 0.000 5.590
As 0.000 2.854 8.386
As 2.854 0.000 2.795
As 2.854 2.854 0.000
Pt 1.410 1.427 6.988
Pt 1.427 4.265 9.783
Pt 1.427 4.299 4.193
Pt 1.444 1.427 1.398
Pt 4.265 4.282 1.398
Pt 4.282 1.410 4.193
Pt 4.282 1.444 9.783
Pt 4.299 4.282 6.988
```

Total magnetization, μB/f.u.: 0.00
Calculated volume, Å³/atom: 22.8
Crystal system: tetragonal
DFT formation energy, eV/atom: 0.404
VASP energy, eV per atom: -6.49
DOS(E_F), states/eV/atom: 0.730


[2]
DFT (PBE) results for MoAsPt2 after structural relaxation.

The structure in extended XYZ format:
```
8
Lattice="9.071 0.000 0.000 0.000 2.819 0.000 -1.260 0.000 5.027" Properties=species:S:1:pos:R:3 pbc="T T T"
Mo 0.000 0.000 0.000
Mo 4.536 1.410 0.000
As 1.590 1.410 1.576
As 6.125 0.000 1.576
Pt 1.205 0.000 4.008
Pt 3.660 0.000 2.575
Pt 5.741 1.410 4.008
Pt 8.195 1.410 2.575
```

Total magnetization, μB/f.u.: 0.00
Calculated volume, Å³/atom: 16.1
Crystal system: monoclinic
DFT formation energy, eV/atom: -0.061
VASP energy, eV per atom: -6.95
DOS(E_F), states/eV/atom: 0.697


[3]
DFT (PBE) results for MoAs2Pt after structural relaxation.

The structure in extended XYZ format:
```
16
Lattice="6.357 0.000 0.000 0.000 6.357 0.000 0.000 0.000 6.357" Properties=species:S:1:pos:R:3 pbc="T T T"
Mo 0.000 0.000 0.000
Mo 0.000 3.179 3.179
Mo 3.179 0.000 3.179
Mo 3.179 3.179 0.000
As 1.589 1.589 1.589
As 1.589 1.589 4.768
As 1.589 4.768 1.589
As 1.589 4.768 4.768
As 4.768 1.589 1.589
As 4.768 1.589 4.768
As 4.768 4.768 1.589
As 4.768 4.768 4.768
Pt 0.000 0.000 3.179
Pt 0.000 3.179 0.000
Pt 3.179 0.000 0.000
Pt 3.179 3.179 3.179
```

Total magnetization, μB/f.u.: 0.00
Calculated volume, Å³/atom: 16.1
E above lowest polymorph, eV/atom: 0.2467
Crystal system: cubic
DFT formation energy, eV/atom: 0.111
VASP energy, eV per atom: -6.43
DOS(E_F), states/eV/atom: 0.929


[4]
DFT (PBE) results for MoAs2Pt after structural relaxation.

The structure in extended XYZ format:
```
4
Lattice="3.516 0.000 0.000 0.000 3.516 0.000 0.000 0.000 5.360" Properties=species:S:1:pos:R:3 pbc="T T T"
Mo 0.000 0.000 0.000
As 0.000 0.000 2.787
As 1.758 1.758 0.862
Pt 1.758 1.758 3.518
```

Total magnetization, μB/f.u.: 0.00
Calculated volume, Å³/atom: 16.6
E above lowest polymorph, eV/atom: 0.0000
Crystal system: tetragonal
DFT formation energy, eV/atom: -0.136
VASP energy, eV per atom: -6.68
DOS(E_F), states/eV/atom: 0.747